Entry 1:
First-principles (PBE) data for a relaxed Pm6HgP3S2 crystal, as listed in the Alexandria database.

Structure (CIF):
```
data_Pm6HgP3S2
_chemical_formula_sum 'Pm6 Hg1 P3 S2'
_space_group_name_H-M_alt 'P 1'
_space_group_IT_number 1
_space_group_name_Hall 'P 1'
_cell_length_a 4.111
_cell_length_b 8.364
_cell_length_c 9.251
_cell_angle_alpha 102.67
_cell_angle_beta 102.84
_cell_angle_gamma 90.00
loop_
_atom_site_label
_atom_site_fract_x
_atom_site_fract_y
_atom_site_fract_z
_atom_site_occupancy
S1 0.831 0.661 0.662 1
S2 0.169 0.339 0.338 1
Pm1 0.666 0.589 0.331 1
Pm2 0.325 0.912 0.650 1
Pm3 0.999 0.727 0.997 1
Pm4 0.001 0.273 0.003 1
Pm5 0.675 0.088 0.350 1
Pm6 0.334 0.411 0.669 1
P1 0.165 0.834 0.330 1
P2 0.500 0.500 0.000 1
P3 0.835 0.166 0.670 1
Hg1 0.500 0.000 0.000 1
```

Results
Its uncorrected formation energy is -1547 meV/atom.

---

Entry 2:
First-principles (PBE) data for a relaxed Pm6HgP2S3 crystal, as listed in the Alexandria database.

Structure (CIF):
```
data_Pm6HgP2S3
_chemical_formula_sum 'Pm6 Hg1 P2 S3'
_space_group_name_H-M_alt 'P 1'
_space_group_IT_number 1
_space_group_name_Hall 'P 1'
_cell_length_a 4.102
_cell_length_b 8.345
_cell_length_c 9.225
_cell_angle_alpha 102.91
_cell_angle_beta 102.85
_cell_angle_gamma 90.00
loop_
_atom_site_label
_atom_site_fract_x
_atom_site_fract_y
_atom_site_fract_z
_atom_site_occupancy
S1 0.500 0.500 0.000 1
S2 0.167 0.833 0.333 1
S3 0.833 0.167 0.667 1
Hg1 0.500 0.000 0.000 1
Pm1 0.673 0.094 0.347 1
Pm2 0.998 0.729 0.997 1
Pm3 0.669 0.578 0.338 1
Pm4 0.002 0.271 0.003 1
Pm5 0.327 0.906 0.653 1
Pm6 0.331 0.422 0.662 1
P1 0.167 0.334 0.334 1
P2 0.833 0.666 0.666 1
```

Results
Its uncorrected formation energy is -1608 meV/atom.

---

Entry 3:
First-principles (PBE) data for a relaxed Pm6HgTe3P2 crystal, as listed in the Alexandria database.

Structure (CIF):
```
data_Pm6HgTe3P2
_chemical_formula_sum 'Pm6 Hg1 Te3 P2'
_space_group_name_H-M_alt 'P 1'
_space_group_IT_number 1
_space_group_name_Hall 'P 1'
_cell_length_a 4.265
_cell_length_b 8.878
_cell_length_c 9.739
_cell_angle_alpha 103.50
_cell_angle_beta 102.65
_cell_angle_gamma 90.00
loop_
_atom_site_label
_atom_site_fract_x
_atom_site_fract_y
_atom_site_fract_z
_atom_site_occupancy
Pm1 0.675 0.564 0.350 1
Pm2 0.331 0.887 0.663 1
Pm3 0.669 0.113 0.337 1
Pm4 0.325 0.436 0.650 1
Pm5 0.012 0.256 0.024 1
Pm6 0.988 0.744 0.976 1
P1 0.169 0.338 0.339 1
P2 0.831 0.662 0.661 1
Te1 0.837 0.167 0.673 1
Te2 0.500 0.500 0.000 1
Te3 0.163 0.833 0.327 1
Hg1 0.500 0.000 0.000 1
```

Results
Its uncorrected formation energy is -1340 meV/atom.

---

Entry 4:
First-principles (PBE) data for a relaxed Pm4HgTe2P crystal, as listed in the Alexandria database.

Structure (CIF):
```
data_Pm4HgTe2P
_chemical_formula_sum 'Pm4 Hg1 Te2 P1'
_space_group_name_H-M_alt 'P 1'
_space_group_IT_number 1
_space_group_name_Hall 'P 1'
_cell_length_a 4.274
_cell_length_b 7.680
_cell_length_c 7.598
_cell_angle_alpha 108.34
_cell_angle_beta 90.00
_cell_angle_gamma 90.00
loop_
_atom_site_label
_atom_site_fract_x
_atom_site_fract_y
_atom_site_fract_z
_atom_site_occupancy
Te1 0.500 0.000 0.500 1
Te2 0.000 0.500 0.500 1
Hg1 0.500 0.500 0.000 1
Pm1 0.500 0.774 0.778 1
Pm2 0.000 0.241 0.764 1
Pm3 0.000 0.759 0.236 1
Pm4 0.500 0.226 0.222 1
P1 0.000 0.000 0.000 1
```

Results
Its uncorrected formation energy is -1211 meV/atom.

---

Entry 5:
First-principles (PBE) data for a relaxed Pr2HgP crystal, as listed in the Alexandria database.

Structure (CIF):
```
data_Pr2HgP
_chemical_formula_sum 'Pr2 Hg1 P1'
_space_group_name_H-M_alt 'P 1'
_space_group_IT_number 1
_space_group_name_Hall 'P 1'
_cell_length_a 4.136
_cell_length_b 4.136
_cell_length_c 8.210
_cell_angle_alpha 75.41
_cell_angle_beta 75.41
_cell_angle_gamma 60.00
loop_
_atom_site_label
_atom_site_fract_x
_atom_site_fract_y
_atom_site_fract_z
_atom_site_occupancy
Pr1 0.069 0.069 0.792 1
Pr2 0.264 0.264 0.208 1
P1 0.667 0.667 0.999 1
Hg1 0.500 0.500 0.501 1
```

Results
The calculation puts the calculated formation energy at -0.94 eV/atom. The energy above the lowest structure with this stoichiometry is 24 meV per atom.

---

Entry 6:
First-principles (PBE) data for a relaxed PrHgP crystal, as listed in the Alexandria database.

Structure (CIF):
```
data_PrHgP
_chemical_formula_sum 'Pr2 Hg2 P2'
_space_group_name_H-M_alt 'P 1'
_space_group_IT_number 1
_space_group_name_Hall 'P 1'
_cell_length_a 4.908
_cell_length_b 4.908
_cell_length_c 9.054
_cell_angle_alpha 74.27
_cell_angle_beta 74.27
_cell_angle_gamma 60.00
loop_
_atom_site_label
_atom_site_fract_x
_atom_site_fract_y
_atom_site_fract_z
_atom_site_occupancy
Pr1 0.394 0.394 0.818 1
Pr2 0.606 0.606 0.182 1
Hg1 0.179 0.179 0.464 1
Hg2 0.821 0.821 0.536 1
P1 0.716 0.716 0.853 1
P2 0.284 0.284 0.147 1
```

Results
The calculation puts the calculated formation energy at -0.70 eV/atom.

---

Entry 7:
First-principles (PBE) data for a relaxed Pr4Hg2P crystal, as listed in the Alexandria database.

Structure (CIF):
```
data_Pr4Hg2P
_chemical_formula_sum 'Pr4 Hg2 P1'
_space_group_name_H-M_alt 'P 1'
_space_group_IT_number 1
_space_group_name_Hall 'P 1'
_cell_length_a 5.534
_cell_length_b 5.534
_cell_length_c 8.575
_cell_angle_alpha 71.18
_cell_angle_beta 71.18
_cell_angle_gamma 90.00
loop_
_atom_site_label
_atom_site_fract_x
_atom_site_fract_y
_atom_site_fract_z
_atom_site_occupancy
P1 0.000 0.000 0.000 1
Hg1 0.614 0.614 0.771 1
Hg2 0.386 0.386 0.229 1
Pr1 0.000 0.500 0.000 1
Pr2 0.186 0.186 0.628 1
Pr3 0.814 0.814 0.372 1
Pr4 0.500 0.000 0.000 1
```

Results
The calculation puts the calculated formation energy at -0.54 eV/atom.

---

Entry 8:
First-principles (PBE) data for a relaxed Pr2HgP crystal, as listed in the Alexandria database.

Structure (CIF):
```
data_Pr2HgP
_chemical_formula_sum 'Pr2 Hg1 P1'
_space_group_name_H-M_alt 'P 1'
_space_group_IT_number 1
_space_group_name_Hall 'P 1'
_cell_length_a 4.178
_cell_length_b 4.178
_cell_length_c 8.080
_cell_angle_alpha 75.01
_cell_angle_beta 75.01
_cell_angle_gamma 60.00
loop_
_atom_site_label
_atom_site_fract_x
_atom_site_fract_y
_atom_site_fract_z
_atom_site_occupancy
P1 0.000 0.000 0.000 1
Hg1 0.500 0.500 0.500 1
Pr1 0.264 0.264 0.209 1
Pr2 0.736 0.736 0.791 1
```

Results
The calculation puts the calculated formation energy at -0.96 eV/atom. The energy above the lowest structure with this stoichiometry is 0 meV per atom.

---

Entry 9:
First-principles (PBE) data for a relaxed Pr2HgP crystal, as listed in the Alexandria database.

Structure (CIF):
```
data_Pr2HgP
_chemical_formula_sum 'Pr2 Hg1 P1'
_space_group_name_H-M_alt 'P 1'
_space_group_IT_number 1
_space_group_name_Hall 'P 1'
_cell_length_a 3.792
_cell_length_b 3.792
_cell_length_c 7.174
_cell_angle_alpha 90.00
_cell_angle_beta 90.00
_cell_angle_gamma 90.00
loop_
_atom_site_label
_atom_site_fract_x
_atom_site_fract_y
_atom_site_fract_z
_atom_site_occupancy
Hg1 0.500 0.500 0.500 1
P1 0.500 0.500 0.000 1
Pr1 0.000 0.000 0.776 1
Pr2 0.000 0.000 0.224 1
```

Results
The calculation puts the calculated formation energy at -0.79 eV/atom. The energy above the lowest structure with this stoichiometry is 167 meV per atom.

---

Entry 10:
First-principles (PBE) data for a relaxed Pr3HgP crystal, as listed in the Alexandria database.

Structure (CIF):
```
data_Pr3HgP
_chemical_formula_sum 'Pr12 Hg4 P4'
_space_group_name_H-M_alt 'P 1'
_space_group_IT_number 1
_space_group_name_Hall 'P 1'
_cell_length_a 4.094
_cell_length_b 9.217
_cell_length_c 16.131
_cell_angle_alpha 90.00
_cell_angle_beta 90.00
_cell_angle_gamma 90.00
loop_
_atom_site_label
_atom_site_fract_x
_atom_site_fract_y
_atom_site_fract_z
_atom_site_occupancy
Hg1 0.750 0.612 0.809 1
Hg2 0.250 0.388 0.191 1
Hg3 0.250 0.888 0.309 1
Hg4 0.750 0.112 0.691 1
Pr1 0.250 0.158 0.533 1
Pr2 0.750 0.672 0.201 1
Pr3 0.750 0.842 0.467 1
Pr4 0.250 0.518 0.394 1
Pr5 0.750 0.342 0.033 1
Pr6 0.750 0.482 0.606 1
Pr7 0.250 0.658 0.967 1
Pr8 0.250 0.328 0.799 1
Pr9 0.750 0.982 0.894 1
Pr10 0.750 0.172 0.299 1
Pr11 0.250 0.018 0.106 1
Pr12 0.250 0.828 0.701 1
P1 0.250 0.177 0.951 1
P2 0.250 0.677 0.549 1
P3 0.750 0.823 0.049 1
P4 0.750 0.323 0.451 1
```

Results
The calculation puts the calculated formation energy at -0.77 eV/atom.

---

Entry 11:
First-principles (PBE) data for a relaxed Pr6HgP3S2 crystal, as listed in the Alexandria database.

Structure (CIF):
```
data_Pr6HgP3S2
_chemical_formula_sum 'Pr6 Hg1 P3 S2'
_space_group_name_H-M_alt 'P 1'
_space_group_IT_number 1
_space_group_name_Hall 'P 1'
_cell_length_a 4.182
_cell_length_b 8.505
_cell_length_c 9.415
_cell_angle_alpha 102.80
_cell_angle_beta 102.83
_cell_angle_gamma 90.00
loop_
_atom_site_label
_atom_site_fract_x
_atom_site_fract_y
_atom_site_fract_z
_atom_site_occupancy
Pr1 0.675 0.088 0.350 1
Pr2 0.334 0.411 0.669 1
Pr3 0.325 0.912 0.650 1
Pr4 0.666 0.589 0.331 1
Pr5 0.001 0.272 0.002 1
Pr6 0.999 0.728 0.998 1
P1 0.835 0.166 0.669 1
P2 0.500 0.500 0.000 1
P3 0.165 0.834 0.331 1
S1 0.169 0.338 0.338 1
S2 0.831 0.662 0.662 1
Hg1 0.500 0.000 0.000 1
```

Results
Its uncorrected formation energy is -1521 meV/atom.

---

Entry 12:
First-principles (PBE) data for a relaxed Pr6HgP2S3 crystal, as listed in the Alexandria database.

Structure (CIF):
```
data_Pr6HgP2S3
_chemical_formula_sum 'Pr6 Hg1 P2 S3'
_space_group_name_H-M_alt 'P 1'
_space_group_IT_number 1
_space_group_name_Hall 'P 1'
_cell_length_a 4.177
_cell_length_b 8.481
_cell_length_c 9.381
_cell_angle_alpha 102.87
_cell_angle_beta 102.86
_cell_angle_gamma 90.00
loop_
_atom_site_label
_atom_site_fract_x
_atom_site_fract_y
_atom_site_fract_z
_atom_site_occupancy
Pr1 0.002 0.272 0.003 1
Pr2 0.669 0.578 0.338 1
Pr3 0.331 0.422 0.662 1
Pr4 0.327 0.906 0.653 1
Pr5 0.998 0.728 0.997 1
Pr6 0.673 0.094 0.347 1
Hg1 0.500 0.000 0.000 1
S1 0.500 0.500 0.000 1
S2 0.834 0.167 0.667 1
S3 0.166 0.833 0.333 1
P1 0.833 0.666 0.666 1
P2 0.167 0.334 0.334 1
```

Results
Its uncorrected formation energy is -1587 meV/atom.

---

Entry 13:
First-principles (PBE) data for a relaxed Pr6HgP2Se3 crystal, as listed in the Alexandria database.

Structure (CIF):
```
data_Pr6HgP2Se3
_chemical_formula_sum 'Pr6 Hg1 P2 Se3'
_space_group_name_H-M_alt 'P 1'
_space_group_IT_number 1
_space_group_name_Hall 'P 1'
_cell_length_a 4.239
_cell_length_b 8.675
_cell_length_c 9.567
_cell_angle_alpha 102.92
_cell_angle_beta 102.80
_cell_angle_gamma 90.00
loop_
_atom_site_label
_atom_site_fract_x
_atom_site_fract_y
_atom_site_fract_z
_atom_site_occupancy
Hg1 0.500 0.000 0.000 1
Pr1 0.329 0.427 0.658 1
Pr2 0.994 0.735 0.989 1
Pr3 0.006 0.265 0.011 1
Pr4 0.329 0.899 0.657 1
Pr5 0.671 0.101 0.343 1
Pr6 0.671 0.573 0.342 1
Se1 0.835 0.167 0.669 1
Se2 0.165 0.833 0.331 1
Se3 0.500 0.500 0.000 1
P1 0.832 0.664 0.664 1
P2 0.168 0.336 0.336 1
```

Results
Its uncorrected formation energy is -1527 meV/atom.

---

| no. | calculated density (Mg/m³) | magnetic moment (μB/f.u.) |
| --- | --- | --- |
| 1 | 6.7 | 0.00 |
| 2 | 6.8 | 0.00 |
| 3 | 7.2 | 0.00 |
| 4 | 7.5 | 0.00 |
| 5 | 7.3 | 0.00 |
| 6 | 6.9 | 0.00 |
| 7 | 7.1 | 0.00 |
| 8 | 7.3 | 0.00 |
| 9 | 8.3 | 0.00 |
| 10 | 7.1 | 0.00 |
| 11 | 6.3 | 0.00 |
| 12 | 6.3 | 0.00 |
| 13 | 6.7 | 0.00 |